(1)
GGA-PBE Zn3Mo, optimized geometry; E_form = 0.128 eV per atom; space-group type = C2/m, No. 12; DFT total energy = -3.54 eV per atom
1.0
4.7298 -1.3592 0.0000
4.7298 1.3592 0.0000
-1.2470 0.0000 4.6372
Zn Mo
3 1
Cartesian
0.0000 0.0000 0.0000
1.5018 0.0000 3.4461
6.7110 0.0000 1.1911
4.1064 0.0000 2.3186



(2)
GGA-PBE Zn3Mo4, optimized geometry; E_form = 0.132 eV per atom; space-group type = I4/mmm, No. 139; DFT total energy = -6.60 eV per atom
1.0
-1.6337 1.6337 10.1998
1.6337 -1.6337 10.1998
1.6337 1.6337 -10.1998
Zn Mo
3 4
Cartesian
0.0000 0.0000 0.0000
0.0000 0.0000 5.7883
0.0000 0.0000 14.6112
0.0000 0.0000 2.7785
0.0000 0.0000 8.6696
0.0000 0.0000 11.7299
0.0000 0.0000 17.6211